Record 1
VASP calculation (PBE) on an optimized crystal structure of NbGeTePO.

Energy relative to the lowest polymorph listed for this composition ... 107.0 meV per atom
E_form (uncorrected) ... -0.61 eV per atom
Calculated volume ... 131.6 Å³ per cell
Total energy ... -6.25 eV/atom
Magnetization ... 0.00 μB per cell

abc: 5.7208 3.5030 6.7103
angles: 90.00 101.92 90.00
With the nearest neighbours (Å) after each atom.
Space group Pm (No. 6)
Inequivalent atoms, fractional coordinates:
Nb1 0.0000 0.0000 0.0000 x1  1 O 1.84
Ge1 0.5397 0.0000 0.3129 x1  1 O 1.93
Te1 0.9147 0.5000 0.6721 x1  2 Nb 2.78
P1 0.2470 0.5000 0.2250 x1  2 Ge 2.41, 2 Nb 2.54
O1 0.7262 0.0000 0.1035 x1  1 Nb 1.84, 1 Ge 1.93

Record 2
VASP calculation (PBE) on an optimized crystal structure of Tb3FeB7.

Energy relative to the elements ... -0.5700 eV/atom
Calculated volume ... 505.7 Å³ per cell
Total energy ... -6.85 eV/atom
Magnetization ... 0.00 μB per cell

abc: 3.4309 15.7946 9.3327
angles: 90.00 90.00 90.00
With the nearest neighbours (Å) after each atom.
Space group Cmcm (No. 63)
Inequivalent atoms, fractional coordinates:
Tb1 0.0000 0.1046 0.0609 x8  11 B 2.62-2.73
Tb2 0.0000 0.2426 0.7500 x4  10 B 2.63-2.68
Fe1 0.0000 0.0548 0.7500 x4  10 B 2.26-2.28
B1 0.0000 0.2726 0.0323 x8  3 B 1.91-1.95
B2 0.0000 0.3700 0.1534 x8  3 B 1.77-1.91
B3 0.0000 0.4617 0.7500 x4  2 B 1.71
B4 0.0000 0.4775 0.0989 x8  2 B 1.71-1.77

Record 3
VASP calculation (PBE) on an optimized crystal structure of LiPrHoIn.

Energy relative to the elements ... -0.2576 eV/atom
Calculated volume ... 437.8 Å³ per cell
Total energy ... -3.76 eV/atom
Magnetization ... 0.00 μB per cell

abc: 7.5930 7.5930 7.5930
angles: 90.00 90.00 90.00
With the nearest neighbours (Å) after each atom.
Space group F-43m (No. 216)
Inequivalent atoms, fractional coordinates:
Li1 0.0000 0.0000 0.0000 x4  4 Pr 3.29, 4 Ho 3.29
Pr1 0.2500 0.2500 0.2500 x4  4 In 3.29, 4 Li 3.29
Ho1 0.2500 0.2500 0.7500 x4  4 Li 3.29, 4 In 3.29
In1 0.0000 0.0000 0.5000 x4  4 Ho 3.29, 4 Pr 3.29

Record 4
VASP calculation (PBE) on an optimized crystal structure of BaPSe2.

Energy relative to the lowest polymorph listed for this composition ... 517.1 meV per atom
E_form (uncorrected) ... -0.39 eV per atom
Calculated volume ... 204.6 Å³ per cell
Total energy ... -3.97 eV/atom
Magnetization ... 0.00 μB per cell

abc: 6.7167 7.5069 4.0579
angles: 90.00 90.00 90.00
With the nearest neighbours (Å) after each atom.
Space group Cmmm (No. 65)
Inequivalent atoms, fractional coordinates:
Ba1 0.0000 0.0000 0.0000 x2  8 Se 3.23, 2 P 3.36
P1 0.0000 0.5000 0.0000 x2  8 Se 3.23, 2 Ba 3.36
Se1 0.2500 0.2500 0.5000 x4  4 Ba 3.23, 4 P 3.23, 2 Se 3.36

Record 5
VASP calculation (PBE) on an optimized crystal structure of PmNdDy2Ho4.

Energy relative to the elements ... 0.4293 eV/atom
Calculated volume ... 1062.7 Å³ per cell
Total energy ... -4.20 eV/atom
Magnetization ... 12.22 μB per cell

abc: 13.6097 13.2491 6.8040
angles: 90.00 119.99 90.00
With the nearest neighbours (Å) after each atom.
Space group C2/c (No. 15)
Inequivalent atoms, fractional coordinates:
Pm1 0.2500 0.2500 0.0000 x4  6 Ho 3.33-3.41, 2 Dy 3.40
Nd1 0.0000 0.0000 0.0000 x4  6 Ho 3.35-3.44, 2 Nd 3.40
Dy1 0.0000 0.5000 0.0000 x4  6 Ho 3.27-3.38, 2 Dy 3.40
Dy2 0.2500 0.2500 0.5000 x4  6 Ho 3.29-3.40, 2 Pm 3.40
Ho1 0.0001 0.2530 0.0012 x8  3 Dy 3.27-3.40, 1 Nd 3.35, 2 Ho 3.39-3.42, 2 Pm 3.41
Ho2 0.2470 0.4985 0.4950 x8  3 Dy 3.29-3.38, 1 Pm 3.33, 2 Ho 3.40, 2 Nd 3.43-3.44

Record 6
VASP calculation (PBE) on an optimized crystal structure of LiMn2Fe.

Energy relative to the elements ... 0.2912 eV/atom
Energy relative to the lowest polymorph listed for this composition ... 68.6 meV per atom
Calculated volume ... 43.4 Å³ per cell
Total energy ... -6.89 eV/atom
Magnetization ... 2.26 μB per cell

abc: 2.3494 4.0561 4.6474
angles: 90.00 101.29 90.00
With the nearest neighbours (Å) after each atom.
Space group P2/m (No. 10)
Inequivalent atoms, fractional coordinates:
Li1 0.0000 0.0000 0.0000 x1  2 Li 2.35, 2 Fe 2.39, 4 Mn 2.46
Mn1 0.2652 0.5000 0.7570 x2  4 Mn 2.31-2.47, 2 Li 2.46, 2 Fe 2.47
Fe1 0.5000 0.0000 0.5000 x1  2 Fe 2.35, 2 Li 2.39, 4 Mn 2.47

Record 7
VASP calculation (PBE) on an optimized crystal structure of Pm8Pr4Pu.

Energy relative to the elements ... 0.5115 eV/atom
Calculated volume ... 1486.9 Å³ per cell
Total energy ... -4.99 eV/atom
Magnetization ... 21.00 μB per cell

abc: 11.2092 11.2092 13.6645
angles: 90.00 90.00 120.00
With the nearest neighbours (Å) after each atom.
Space group R-3m (No. 166, hexagonal axes)
Inequivalent atoms, fractional coordinates:
Pm1 0.0000 0.0000 0.2423 x6  4 Pr 3.31-3.47, 1 Pu 3.52
Pm2 0.0097 0.5049 0.7466 x18  4 Pr 3.33-3.46, 1 Pu 3.53
Pr1 0.0000 0.0000 0.0000 x3  8 Pm 3.31-3.33
Pr2 0.0000 0.5000 0.0000 x9  8 Pm 3.46-3.47
Pu1 0.0000 0.0000 0.5000 x3  8 Pm 3.52-3.53

Record 8
VASP calculation (PBE) on an optimized crystal structure of Li4Tm3ZrTe8.

E_form (uncorrected) ... -1.16 eV per atom
Calculated volume ... 1315.8 Å³ per cell
Total energy ... -4.59 eV/atom
Magnetization ... 0.61 μB per cell

abc: 8.4707 8.4707 21.1754
angles: 90.00 90.00 120.00
With the nearest neighbours (Å) after each atom.
Space group R-3m (No. 166, hexagonal axes)
Inequivalent atoms, fractional coordinates:
Li1 0.0000 0.0000 0.0000 x3  6 Te 3.05
Li2 0.0000 0.5000 0.0000 x9  6 Te 2.99
Tm1 0.0000 0.5000 0.5000 x9  6 Te 3.04
Zr1 0.0000 0.0000 0.5000 x3  6 Te 2.98
Te1 0.0000 0.0000 0.2520 x6  3 Li 2.99, 3 Tm 3.04
Te2 0.0075 0.5038 0.2505 x18  1 Zr 2.98, 3 Li 2.99-3.05, 2 Tm 3.04